# 1
Here is Li4TaW after structural relaxation from Alexandria. Energies are from PBE-GGA.

```
data_Li4TaW
_cell_length_a 6.9334
_cell_length_b 6.9334
_cell_length_c 6.9334
_cell_angle_alpha 90.00
_cell_angle_beta 90.00
_cell_angle_gamma 90.00
_symmetry_space_group_name_H-M 'F -4 3 m'
_symmetry_Int_Tables_number 216
_symmetry_space_group_name_Hall 'F -4 2 3'
loop_
_atom_site_label
_atom_site_fract_x
_atom_site_fract_y
_atom_site_fract_z
Li1 0.1241 0.1241 0.3759
Ta1 0.0000 0.0000 0.0000
W1 0.2500 0.2500 0.7500
```

Properties
DOS at the Fermi energy in states/eV per cell: 23.31
Formation energy from the elements in meV/atom: 595
Calculated volume in Å³/cell: 333

=====

# 2
Here is LiTa3W after structural relaxation from Alexandria. Energies are from PBE-GGA.

```
data_LiTa3W
_cell_length_a 4.3881
_cell_length_b 4.3881
_cell_length_c 4.3881
_cell_angle_alpha 90.00
_cell_angle_beta 90.00
_cell_angle_gamma 90.00
_symmetry_space_group_name_H-M 'P m -3 m'
_symmetry_Int_Tables_number 221
_symmetry_space_group_name_Hall '-P 4 2 3'
loop_
_atom_site_label
_atom_site_fract_x
_atom_site_fract_y
_atom_site_fract_z
Li1 0.0000 0.0000 0.0000
Ta1 0.0000 0.0000 0.5000
W1 0.5000 0.5000 0.5000
```

Properties
DOS at the Fermi energy in states/eV per cell: 7.80
Formation energy from the elements in meV/atom: 1229
Energy above the most stable polymorph in this dataset in meV per atom: 0
Calculated volume in Å³/cell: 84

=====

# 3
Here is Li2Ta2W after structural relaxation from Alexandria. Energies are from PBE-GGA.

```
data_Li2Ta2W
_cell_length_a 4.6515
_cell_length_b 4.6515
_cell_length_c 6.9614
_cell_angle_alpha 90.00
_cell_angle_beta 90.00
_cell_angle_gamma 90.00
_symmetry_space_group_name_H-M 'I 4/m m m'
_symmetry_Int_Tables_number 139
_symmetry_space_group_name_Hall '-I 4 2'
loop_
_atom_site_label
_atom_site_fract_x
_atom_site_fract_y
_atom_site_fract_z
Li1 0.0000 0.0000 0.1188
Ta1 0.0000 0.5000 0.2500
W1 0.0000 0.0000 0.5000
```

Properties
DOS at the Fermi energy in states/eV per cell: 4.87
Formation energy from the elements in meV/atom: 700
Energy above the most stable polymorph in this dataset in meV per atom: 120
Calculated volume in Å³/cell: 151

=====

# 4
Here is Li2YTa after structural relaxation from Alexandria. Energies are from PBE-GGA.

```
data_Li2YTa
_cell_length_a 3.0902
_cell_length_b 5.0873
_cell_length_c 9.8652
_cell_angle_alpha 90.00
_cell_angle_beta 90.00
_cell_angle_gamma 90.00
_symmetry_space_group_name_H-M 'I m m 2'
_symmetry_Int_Tables_number 44
_symmetry_space_group_name_Hall 'I 2 -2'
loop_
_atom_site_label
_atom_site_fract_x
_atom_site_fract_y
_atom_site_fract_z
Li1 0.0000 0.0000 0.0000
Li2 0.0000 0.5000 0.3016
Y1 0.0000 0.0000 0.5318
Ta1 0.0000 0.5000 0.7607
```

Properties
DOS at the Fermi energy in states/eV per cell: 9.12
Formation energy from the elements in meV/atom: 503
Energy above the most stable polymorph in this dataset in meV per atom: 204
Calculated volume in Å³/cell: 155

=====

# 5
Here is LiYTa2 after structural relaxation from Alexandria. Energies are from PBE-GGA.

```
data_LiYTa2
_cell_length_a 2.9672
_cell_length_b 2.9672
_cell_length_c 32.5337
_cell_angle_alpha 90.00
_cell_angle_beta 90.00
_cell_angle_gamma 120.00
_symmetry_space_group_name_H-M 'R -3 m'
_symmetry_Int_Tables_number 166
_symmetry_space_group_name_Hall '-R 3 2"'
loop_
_atom_site_label
_atom_site_fract_x
_atom_site_fract_y
_atom_site_fract_z
Li1 0.0000 0.0000 0.0000
Y1 0.0000 0.0000 0.5000
Ta1 0.0000 0.0000 0.2532
```

Properties
DOS at the Fermi energy in states/eV per cell: 14.36
Formation energy from the elements in meV/atom: 567
Energy above the most stable polymorph in this dataset in meV per atom: 267
Calculated volume in Å³/cell: 248

=====

# 6
Here is Li2YTa after structural relaxation from Alexandria. Energies are from PBE-GGA.

```
data_Li2YTa
_cell_length_a 4.1747
_cell_length_b 4.1747
_cell_length_c 9.1415
_cell_angle_alpha 90.00
_cell_angle_beta 90.00
_cell_angle_gamma 90.00
_symmetry_space_group_name_H-M 'I -4 m 2'
_symmetry_Int_Tables_number 119
_symmetry_space_group_name_Hall 'I -4 -2'
loop_
_atom_site_label
_atom_site_fract_x
_atom_site_fract_y
_atom_site_fract_z
Li1 0.0000 0.0000 0.0000
Li2 0.0000 0.5000 0.2500
Y1 0.0000 0.0000 0.5000
Ta1 0.0000 0.5000 0.7500
```

Properties
DOS at the Fermi energy in states/eV per cell: 8.37
Formation energy from the elements in meV/atom: 654
Energy above the most stable polymorph in this dataset in meV per atom: 355
Calculated volume in Å³/cell: 159

=====

# 7
Here is LiY3Ta after structural relaxation from Alexandria. Energies are from PBE-GGA.

```
data_LiY3Ta
_cell_length_a 5.5579
_cell_length_b 5.5579
_cell_length_c 5.5579
_cell_angle_alpha 90.00
_cell_angle_beta 90.00
_cell_angle_gamma 90.00
_symmetry_space_group_name_H-M 'P m -3 m'
_symmetry_Int_Tables_number 221
_symmetry_space_group_name_Hall '-P 4 2 3'
loop_
_atom_site_label
_atom_site_fract_x
_atom_site_fract_y
_atom_site_fract_z
Li1 0.0000 0.0000 0.0000
Y1 0.0000 0.5000 0.5000
Ta1 0.5000 0.5000 0.5000
```

Properties
DOS at the Fermi energy in states/eV per cell: 6.29
Formation energy from the elements in meV/atom: 620
Energy above the most stable polymorph in this dataset in meV per atom: 0
Calculated volume in Å³/cell: 172

=====

# 8
Here is LiYTa2 after structural relaxation from Alexandria. Energies are from PBE-GGA.

```
data_LiYTa2
_cell_length_a 2.9750
_cell_length_b 2.9750
_cell_length_c 9.4427
_cell_angle_alpha 90.00
_cell_angle_beta 90.00
_cell_angle_gamma 90.00
_symmetry_space_group_name_H-M 'P 4 m m'
_symmetry_Int_Tables_number 99
_symmetry_space_group_name_Hall 'P 4 -2'
loop_
_atom_site_label
_atom_site_fract_x
_atom_site_fract_y
_atom_site_fract_z
Li1 0.0000 0.0000 0.0000
Y1 0.5000 0.5000 0.7188
Ta1 0.0000 0.0000 0.4593
Ta2 0.5000 0.5000 0.2344
```

Properties
DOS at the Fermi energy in states/eV per cell: 4.98
Formation energy from the elements in meV/atom: 425
Energy above the most stable polymorph in this dataset in meV per atom: 125
Calculated volume in Å³/cell: 84

=====

# 9
Here is LiYTa2 after structural relaxation from Alexandria. Energies are from PBE-GGA.

```
data_LiYTa2
_cell_length_a 3.3887
_cell_length_b 4.9275
_cell_length_c 10.2233
_cell_angle_alpha 90.00
_cell_angle_beta 90.00
_cell_angle_gamma 90.00
_symmetry_space_group_name_H-M 'C m m 2'
_symmetry_Int_Tables_number 35
_symmetry_space_group_name_Hall 'C 2 -2'
loop_
_atom_site_label
_atom_site_fract_x
_atom_site_fract_y
_atom_site_fract_z
Li1 0.0000 0.0000 0.0000
Y1 0.0000 0.5000 0.7117
Ta1 0.0000 0.0000 0.4513
Ta2 0.0000 0.5000 0.2429
```

Properties
DOS at the Fermi energy in states/eV per cell: 10.07
Formation energy from the elements in meV/atom: 339
Energy above the most stable polymorph in this dataset in meV per atom: 39
Calculated volume in Å³/cell: 171

=====

# 10
Here is LiYTa2 after structural relaxation from Alexandria. Energies are from PBE-GGA.

```
data_LiYTa2
_cell_length_a 3.2690
_cell_length_b 4.6274
_cell_length_c 5.3422
_cell_angle_alpha 90.00
_cell_angle_beta 90.00
_cell_angle_gamma 90.00
_symmetry_space_group_name_H-M 'P m m m'
_symmetry_Int_Tables_number 47
_symmetry_space_group_name_Hall '-P 2 2'
loop_
_atom_site_label
_atom_site_fract_x
_atom_site_fract_y
_atom_site_fract_z
Li1 0.0000 0.0000 0.0000
Y1 0.5000 0.5000 0.0000
Ta1 0.0000 0.5000 0.5000
Ta2 0.5000 0.0000 0.5000
```

Properties
DOS at the Fermi energy in states/eV per cell: 4.75
Formation energy from the elements in meV/atom: 423
Energy above the most stable polymorph in this dataset in meV per atom: 123
Calculated volume in Å³/cell: 81

=====

# 11
Here is Li2YTa after structural relaxation from Alexandria. Energies are from PBE-GGA.

```
data_Li2YTa
_cell_length_a 4.2789
_cell_length_b 4.2789
_cell_length_c 8.7540
_cell_angle_alpha 90.00
_cell_angle_beta 90.00
_cell_angle_gamma 90.00
_symmetry_space_group_name_H-M 'I 4/m m m'
_symmetry_Int_Tables_number 139
_symmetry_space_group_name_Hall '-I 4 2'
loop_
_atom_site_label
_atom_site_fract_x
_atom_site_fract_y
_atom_site_fract_z
Li1 0.0000 0.5000 0.2500
Y1 0.0000 0.0000 0.0000
Ta1 0.0000 0.0000 0.5000
```

Properties
DOS at the Fermi energy in states/eV per cell: 8.47
Formation energy from the elements in meV/atom: 630
Energy above the most stable polymorph in this dataset in meV per atom: 331
Calculated volume in Å³/cell: 160

=====

# 12
Here is LiYTa2 after structural relaxation from Alexandria. Energies are from PBE-GGA.

```
data_LiYTa2
_cell_length_a 4.0647
_cell_length_b 4.0647
_cell_length_c 9.7753
_cell_angle_alpha 90.00
_cell_angle_beta 90.00
_cell_angle_gamma 90.00
_symmetry_space_group_name_H-M 'I 4/m m m'
_symmetry_Int_Tables_number 139
_symmetry_space_group_name_Hall '-I 4 2'
loop_
_atom_site_label
_atom_site_fract_x
_atom_site_fract_y
_atom_site_fract_z
Li1 0.0000 0.0000 0.0000
Y1 0.0000 0.0000 0.5000
Ta1 0.0000 0.5000 0.2500
```

Properties
DOS at the Fermi energy in states/eV per cell: 11.00
Formation energy from the elements in meV/atom: 483
Energy above the most stable polymorph in this dataset in meV per atom: 183
Calculated volume in Å³/cell: 162

=====

# 13
Here is LiYTa2 after structural relaxation from Alexandria. Energies are from PBE-GGA.

```
data_LiYTa2
_cell_length_a 3.3102
_cell_length_b 4.5952
_cell_length_c 10.4237
_cell_angle_alpha 90.00
_cell_angle_beta 90.00
_cell_angle_gamma 90.00
_symmetry_space_group_name_H-M 'I m m m'
_symmetry_Int_Tables_number 71
_symmetry_space_group_name_Hall '-I 2 2'
loop_
_atom_site_label
_atom_site_fract_x
_atom_site_fract_y
_atom_site_fract_z
Li1 0.0000 0.0000 0.0000
Y1 0.0000 0.0000 0.5000
Ta1 0.0000 0.5000 0.2679
```

Properties
DOS at the Fermi energy in states/eV per cell: 4.96
Formation energy from the elements in meV/atom: 339
Energy above the most stable polymorph in this dataset in meV per atom: 39
Calculated volume in Å³/cell: 159

=====

# 14
Here is Li2YTa after structural relaxation from Alexandria. Energies are from PBE-GGA.

```
data_Li2YTa
_cell_length_a 3.0115
_cell_length_b 3.0115
_cell_length_c 32.5613
_cell_angle_alpha 90.00
_cell_angle_beta 90.00
_cell_angle_gamma 120.00
_symmetry_space_group_name_H-M 'R -3 m'
_symmetry_Int_Tables_number 166
_symmetry_space_group_name_Hall '-R 3 2"'
loop_
_atom_site_label
_atom_site_fract_x
_atom_site_fract_y
_atom_site_fract_z
Li1 0.0000 0.0000 0.2439
Y1 0.0000 0.0000 0.0000
Ta1 0.0000 0.0000 0.5000
```

Properties
DOS at the Fermi energy in states/eV per cell: 9.16
Formation energy from the elements in meV/atom: 482
Energy above the most stable polymorph in this dataset in meV per atom: 183
Calculated volume in Å³/cell: 256

=====

# 15
Here is Li2YTa after structural relaxation from Alexandria. Energies are from PBE-GGA.

```
data_Li2YTa
_cell_length_a 3.0839
_cell_length_b 3.0839
_cell_length_c 8.9248
_cell_angle_alpha 90.00
_cell_angle_beta 90.00
_cell_angle_gamma 90.00
_symmetry_space_group_name_H-M 'P 4 m m'
_symmetry_Int_Tables_number 99
_symmetry_space_group_name_Hall 'P 4 -2'
loop_
_atom_site_label
_atom_site_fract_x
_atom_site_fract_y
_atom_site_fract_z
Li1 0.0000 0.0000 0.0000
Li2 0.5000 0.5000 0.2133
Y1 0.5000 0.5000 0.6958
Ta1 0.0000 0.0000 0.4446
```

Properties
DOS at the Fermi energy in states/eV per cell: 2.13
Formation energy from the elements in meV/atom: 299
Energy above the most stable polymorph in this dataset in meV per atom: 0
Calculated volume in Å³/cell: 85

=====

# 16
Here is Li2YTa after structural relaxation from Alexandria. Energies are from PBE-GGA.

```
data_Li2YTa
_cell_length_a 2.9653
_cell_length_b 2.9653
_cell_length_c 9.1656
_cell_angle_alpha 90.00
_cell_angle_beta 90.00
_cell_angle_gamma 90.00
_symmetry_space_group_name_H-M 'P 4/m m m'
_symmetry_Int_Tables_number 123
_symmetry_space_group_name_Hall '-P 4 2'
loop_
_atom_site_label
_atom_site_fract_x
_atom_site_fract_y
_atom_site_fract_z
Li1 0.0000 0.0000 0.2255
Y1 0.5000 0.5000 0.5000
Ta1 0.5000 0.5000 0.0000
```

Properties
DOS at the Fermi energy in states/eV per cell: 4.30
Formation energy from the elements in meV/atom: 547
Energy above the most stable polymorph in this dataset in meV per atom: 248
Calculated volume in Å³/cell: 81

=====

# 17
Here is Li2YTa after structural relaxation from Alexandria. Energies are from PBE-GGA.

```
data_Li2YTa
_cell_length_a 3.0473
_cell_length_b 5.1162
_cell_length_c 11.1420
_cell_angle_alpha 90.00
_cell_angle_beta 90.00
_cell_angle_gamma 90.00
_symmetry_space_group_name_H-M 'I m m m'
_symmetry_Int_Tables_number 71
_symmetry_space_group_name_Hall '-I 2 2'
loop_
_atom_site_label
_atom_site_fract_x
_atom_site_fract_y
_atom_site_fract_z
Li1 0.0000 0.0000 0.2328
Y1 0.0000 0.5000 0.0000
Ta1 0.0000 0.5000 0.5000
```

Properties
DOS at the Fermi energy in states/eV per cell: 7.58
Formation energy from the elements in meV/atom: 484
Energy above the most stable polymorph in this dataset in meV per atom: 185
Calculated volume in Å³/cell: 174

=====

# 18
Here is Li3YTa after structural relaxation from Alexandria. Energies are from PBE-GGA.

```
data_Li3YTa
_cell_length_a 4.9339
_cell_length_b 4.9339
_cell_length_c 4.9339
_cell_angle_alpha 90.00
_cell_angle_beta 90.00
_cell_angle_gamma 90.00
_symmetry_space_group_name_H-M 'P m -3 m'
_symmetry_Int_Tables_number 221
_symmetry_space_group_name_Hall '-P 4 2 3'
loop_
_atom_site_label
_atom_site_fract_x
_atom_site_fract_y
_atom_site_fract_z
Li1 0.0000 0.0000 0.5000
Y1 0.5000 0.5000 0.5000
Ta1 0.0000 0.0000 0.0000
```

Properties
DOS at the Fermi energy in states/eV per cell: 3.47
Formation energy from the elements in meV/atom: 1167
Energy above the most stable polymorph in this dataset in meV per atom: 0
Calculated volume in Å³/cell: 120

=====

# 19
Here is Li2YTa after structural relaxation from Alexandria. Energies are from PBE-GGA.

```
data_Li2YTa
_cell_length_a 2.8890
_cell_length_b 5.3704
_cell_length_c 5.4704
_cell_angle_alpha 90.00
_cell_angle_beta 93.95
_cell_angle_gamma 90.00
_symmetry_space_group_name_H-M 'P 1 2/m 1'
_symmetry_Int_Tables_number 10
_symmetry_space_group_name_Hall '-P 2y'
loop_
_atom_site_label
_atom_site_fract_x
_atom_site_fract_y
_atom_site_fract_z
Li1 0.2390 0.0000 0.2161
Y1 0.0000 0.5000 0.5000
Ta1 0.5000 0.5000 0.0000
```

Properties
DOS at the Fermi energy in states/eV per cell: 3.58
Formation energy from the elements in meV/atom: 466
Energy above the most stable polymorph in this dataset in meV per atom: 167
Calculated volume in Å³/cell: 85

=====

# 20
Here is LiYTa2 after structural relaxation from Alexandria. Energies are from PBE-GGA.

```
data_LiYTa2
_cell_length_a 2.8275
_cell_length_b 5.1114
_cell_length_c 5.6812
_cell_angle_alpha 90.00
_cell_angle_beta 90.00
_cell_angle_gamma 90.00
_symmetry_space_group_name_H-M 'P m m m'
_symmetry_Int_Tables_number 47
_symmetry_space_group_name_Hall '-P 2 2'
loop_
_atom_site_label
_atom_site_fract_x
_atom_site_fract_y
_atom_site_fract_z
Li1 0.0000 0.0000 0.0000
Y1 0.0000 0.0000 0.5000
Ta1 0.5000 0.5000 0.2538
```

Properties
DOS at the Fermi energy in states/eV per cell: 4.31
Formation energy from the elements in meV/atom: 569
Energy above the most stable polymorph in this dataset in meV per atom: 269
Calculated volume in Å³/cell: 82

=====

no.,total moment (μB/f.u.)
1,0.00
2,0.00
3,0.00
4,0.00
5,0.00
6,0.55
7,0.00
8,0.00
9,0.00
10,0.00
11,0.00
12,0.00
13,0.00
14,0.00
15,0.00
16,0.00
17,0.00
18,4.05
19,0.00
20,0.00